[1]
{
  "formula": "Y2ScCd5",
  "functional": "PBE",
  "state": "relaxed",
  "total_energy_ev_per_atom": -3.27,
  "crystal_system": "tetragonal",
  "space_group": "I4/mmm (139)",
  "n_ef_per_ev_atom": 0.502,
  "lattice_angstrom": [[-0.363, -2.165, -4.544], [4.976, 0.537, -0.653], [-1.180, -5.870, 5.694]],
  "species": ["Cd", "Cd", "Cd", "Cd", "Cd", "Y", "Y", "Sc"],
  "fractional_positions": [[0.386, 0.886, 0.771], [0.614, 0.114, 0.229], [0.886, 0.386, 0.771], [0.500, 0.500, 0.000], [0.114, 0.614, 0.229], [0.259, 0.259, 0.517], [0.741, 0.741, 0.483], [0.000, 0.000, 0.000]]
}

=====

[2]
{
  "formula": "YScCd2",
  "functional": "PBE",
  "state": "relaxed",
  "total_energy_ev_per_atom": -3.71,
  "crystal_system": "trigonal",
  "space_group": "R3m (160)",
  "n_ef_per_ev_atom": 0.782,
  "lattice_angstrom": [[10.080, -0.083, -0.049], [9.506, 3.356, -0.049], [9.506, 1.588, 2.957]],
  "species": ["Sc", "Cd", "Cd", "Y"],
  "fractional_positions": [[0.506, 0.506, 0.506], [0.995, 0.995, 0.995], [0.251, 0.251, 0.251], [0.748, 0.748, 0.748]]
}

=====

[3]
{
  "formula": "Y2ScCd",
  "functional": "PBE",
  "state": "relaxed",
  "total_energy_ev_per_atom": -4.85,
  "crystal_system": "tetragonal",
  "space_group": "I-42d (122)",
  "n_ef_per_ev_atom": 0.575,
  "lattice_angstrom": [[-7.903, -3.037, 0.842], [2.660, -5.211, 6.178], [-3.256, -1.869, 5.685]],
  "species": ["Cd", "Cd", "Y", "Y", "Y", "Y", "Sc", "Sc"],
  "fractional_positions": [[0.000, 0.000, 0.000], [0.750, 0.250, 0.500], [0.875, 0.906, 0.750], [0.094, 0.625, 0.250], [0.375, 0.344, 0.750], [0.656, 0.125, 0.250], [0.500, 0.500, 0.000], [0.250, 0.750, 0.500]]
}

=====

- What is the formula in the first record?
  Y2ScCd5